Entry from the Alexandria database: crystalline AcCd2Au8 at its relaxed geometry (PBE-GGA).

Summary:
Crystal system: tetragonal
Calculated formation energy: -0.147 eV/atom
V: 25.99 Å³/atom
Total DFT energy (no corrections): -33.774 eV/cell
Total magnetization: 0.00 μB per formula unit

a b c (Å): 5.536 5.536 9.330
angles (deg): 90.00 90.00 90.00
Positions (direct):
1 Ac 0.000 0.000 0.000
2 Cd 0.000 0.500 0.500
3 Cd 0.500 0.000 0.500
4 Au 0.253 0.253 0.267
5 Au 0.253 0.253 0.733
6 Au 0.253 0.747 0.267
7 Au 0.253 0.747 0.733
8 Au 0.747 0.253 0.267
9 Au 0.747 0.253 0.733
10 Au 0.747 0.747 0.267
11 Au 0.747 0.747 0.733

Entry from the Alexandria database: crystalline Li4Mn at its relaxed geometry (PBE-GGA).

Summary:
Crystal system: tetragonal
Calculated formation energy: 0.405 eV/atom
V: 18.40 Å³/atom
Total DFT energy (no corrections): -14.798 eV/cell
Total magnetization: 4.02 μB per formula unit
Relative energy among the computed polymorphs: 0.00 eV per formula unit

a b c (Å): 7.266 7.266 7.266
angles (deg): 150.64 150.64 42.00
Positions (direct):
1 Li 0.093 0.093 0.000
2 Li 0.250 0.750 0.500
3 Li 0.750 0.250 0.500
4 Li 0.907 0.907 0.000
5 Mn 0.500 0.500 0.000

Entry from the Alexandria database: crystalline Pm6CoRh3 at its relaxed geometry (PBE-GGA).

Summary:
Crystal system: monoclinic
Calculated formation energy: -0.444 eV/atom
V: 26.12 Å³/atom
Total DFT energy (no corrections): -124.208 eV/cell
Total magnetization: 0.00 μB per formula unit

a b c (Å): 6.880 7.510 12.159
angles (deg): 90.00 123.75 90.00
Positions (direct):
1 Pm 0.089 0.058 0.253
2 Pm 0.089 0.442 0.753
3 Pm 0.248 0.672 0.073
4 Pm 0.248 0.828 0.573
5 Pm 0.406 0.180 0.071
6 Pm 0.406 0.320 0.571
7 Pm 0.594 0.680 0.429
8 Pm 0.594 0.820 0.929
9 Pm 0.752 0.172 0.427
10 Pm 0.752 0.328 0.927
11 Pm 0.911 0.558 0.247
12 Pm 0.911 0.942 0.747
13 Co 0.500 0.000 0.500
14 Co 0.500 0.500 0.000
15 Rh 0.000 0.000 0.000
16 Rh 0.000 0.500 0.500
17 Rh 0.301 0.111 0.759
18 Rh 0.301 0.389 0.259
19 Rh 0.699 0.611 0.741
20 Rh 0.699 0.889 0.241

Entry from the Alexandria database: crystalline Rb2BeCrS at its relaxed geometry (PBE-GGA).

Summary:
Crystal system: tetragonal
V: 39.21 Å³/atom
Total DFT energy (no corrections): -17.506 eV/cell
Formation energy without anion corrections: 8.790 kcal/mol of atoms
Total magnetization: 3.92 μB per formula unit

a b c (Å): 6.577 6.577 4.531
angles (deg): 90.00 90.00 90.00
Positions (direct):
1 Rb 0.000 0.500 0.000
2 Rb 0.500 0.000 0.000
3 Be 0.000 0.000 0.500
4 Cr 0.500 0.500 0.500
5 S 0.500 0.500 0.000

Entry from the Alexandria database: crystalline Tc2Rh at its relaxed geometry (PBE-GGA).

Summary:
Crystal system: hexagonal
Calculated formation energy: 0.052 eV/atom
V: 14.66 Å³/atom
Total DFT energy (no corrections): -27.927 eV/cell
Total magnetization: 0.00 μB per formula unit
Relative energy among the computed polymorphs: 0.51 eV per formula unit

a b c (Å): 4.325 4.325 2.715
angles (deg): 90.00 90.00 120.00
Positions (direct):
1 Tc 0.333 0.667 0.000
2 Tc 0.667 0.333 0.000
3 Rh 0.000 0.000 0.500

Entry from the Alexandria database: crystalline HfTl6I12 at its relaxed geometry (PBE-GGA).

Summary:
Crystal system: trigonal
V: 45.97 Å³/atom
Total DFT energy (no corrections): -53.846 eV/cell
Formation energy without anion corrections: -13.464 kcal/mol of atoms
Total magnetization: 0.00 μB per formula unit

a b c (Å): 9.656 9.656 9.656
angles (deg): 97.73 97.73 97.73
Positions (direct):
1 Hf 0.000 0.000 0.000
2 Tl 0.158 0.315 0.660
3 Tl 0.315 0.660 0.158
4 Tl 0.340 0.842 0.685
5 Tl 0.660 0.158 0.315
6 Tl 0.685 0.340 0.842
7 Tl 0.842 0.685 0.340
8 I 0.005 0.946 0.702
9 I 0.054 0.298 0.995
10 I 0.159 0.571 0.426
11 I 0.298 0.995 0.054
12 I 0.426 0.159 0.571
13 I 0.429 0.574 0.841
14 I 0.571 0.426 0.159
15 I 0.574 0.841 0.429
16 I 0.702 0.005 0.946
17 I 0.841 0.429 0.574
18 I 0.946 0.702 0.005
19 I 0.995 0.054 0.298